Entry 1:
Computed, not measured: Ac3TlBr3 after structural relaxation at the GGA-PBE level of DFT.

```
data_Ac3TlBr3
_space_group_name_H-M_alt 'I 41 3 2'
_space_group_IT_number 214
_space_group_name_Hall 'I 4bd 2c 3'
_cell_length_a 13.119
_cell_length_b 13.119
_cell_length_c 13.119
_cell_angle_alpha 90.00
_cell_angle_beta 90.00
_cell_angle_gamma 90.00
loop_
_atom_site_label
_atom_site_type_symbol
_atom_site_fract_x
_atom_site_fract_y
_atom_site_fract_z
_atom_site_occupancy
Ac1 Ac 0.121 0.371 0.125 1
Tl1 Tl 0.125 0.125 0.125 1
Br1 Br 0.124 0.126 0.625 1
```

Results
As for the volume: 2257.7 Å³ per cell. The calculation puts the formation energy without anion corrections at -1215 meV per atom. Its total DFT energy (no corrections) is -225.7 eV/cell.



Entry 2:
Computed, not measured: ThBeZn2 after structural relaxation at the GGA-PBE level of DFT.

```
data_ThBeZn2
_space_group_name_H-M_alt 'R -3 m'
_space_group_IT_number 166
_space_group_name_Hall '-R 3 2"'
_cell_length_a 4.0461
_cell_length_b 4.0461
_cell_length_c 15.7588
_cell_angle_alpha 90.00
_cell_angle_beta 90.00
_cell_angle_gamma 120.00
loop_
_atom_site_label
_atom_site_type_symbol
_atom_site_fract_x
_atom_site_fract_y
_atom_site_fract_z
_atom_site_occupancy
Th1 Th 0.0000 0.0000 0.0000 1
Be1 Be 0.0000 0.0000 0.5000 1
Zn1 Zn 0.0000 0.0000 0.2050 1
```

Results
As for the volume: 223.4 Å³ per cell. Its total DFT energy (no corrections) is -42.2 eV/cell. The energy of formation from the pure elements is -0.4 eV per formula unit.



Entry 3:
Computed, not measured: RbCa2OsSe after structural relaxation at the GGA-PBE level of DFT.

```
data_RbCa2OsSe
_space_group_name_H-M_alt 'P 4/m m m'
_space_group_IT_number 123
_space_group_name_Hall '-P 4 2'
_cell_length_a 5.910
_cell_length_b 5.910
_cell_length_c 5.499
_cell_angle_alpha 90.00
_cell_angle_beta 90.00
_cell_angle_gamma 90.00
loop_
_atom_site_label
_atom_site_type_symbol
_atom_site_fract_x
_atom_site_fract_y
_atom_site_fract_z
_atom_site_occupancy
Rb1 Rb 0.000 0.000 0.000 1
Ca1 Ca 0.000 0.500 0.000 1
Os1 Os 0.500 0.500 0.500 1
Se1 Se 0.000 0.000 0.500 1
```

Results
As for the volume: 192.0 Å³ per cell. The calculation puts the formation energy without anion corrections at 1684 meV per atom. Its total DFT energy (no corrections) is -11.3 eV/cell.



Entry 4:
Computed, not measured: TbNd7Ho12 after structural relaxation at the GGA-PBE level of DFT.

```
data_TbNd7Ho12
_space_group_name_H-M_alt 'I m -3 m'
_space_group_IT_number 229
_space_group_name_Hall '-I 4 2 3'
_cell_length_a 11.296
_cell_length_b 11.296
_cell_length_c 11.296
_cell_angle_alpha 90.00
_cell_angle_beta 90.00
_cell_angle_gamma 90.00
loop_
_atom_site_label
_atom_site_type_symbol
_atom_site_fract_x
_atom_site_fract_y
_atom_site_fract_z
_atom_site_occupancy
Tb1 Tb 0.000 0.000 0.000 1
Nd1 Nd 0.000 0.000 0.500 1
Nd2 Nd 0.250 0.250 0.250 1
Ho1 Ho 0.000 0.247 0.247 1
```

Results
As for the volume: 1441.5 Å³ per cell. Its total DFT energy (no corrections) is -160.1 eV/cell. As for the energy above the lowest structure with this stoichiometry: 414 meV per atom. The energy of formation from the pure elements is 12.9 eV per formula unit.



Entry 5:
Computed, not measured: InTc2Se after structural relaxation at the GGA-PBE level of DFT.

```
data_InTc2Se
_space_group_name_H-M_alt 'P 4 m m'
_space_group_IT_number 99
_cell_length_a 2.988
_cell_length_b 2.988
_cell_length_c 8.125
_cell_angle_alpha 90.00
_cell_angle_beta 90.00
_cell_angle_gamma 90.00
loop_
_space_group_symop_operation_xyz
'x,y,z'
'-y,x,z'
'-x,-y,z'
'y,-x,z'
'-x,y,z'
'y,x,z'
'x,-y,z'
'-y,-x,z'
loop_
_atom_site_label
_atom_site_type_symbol
_atom_site_fract_x
_atom_site_fract_y
_atom_site_fract_z
_atom_site_occupancy
In1 In 0.000 0.000 0.000 1
Tc1 Tc 0.000 0.000 0.550 1
Tc2 Tc 0.500 0.500 0.759 1
Se1 Se 0.500 0.500 0.361 1
```

Results
As for the volume: 72.5 Å³ per cell. The calculation puts the formation energy without anion corrections at 72 meV per atom. Its total DFT energy (no corrections) is -26.7 eV/cell. As for the energy above the lowest structure with this stoichiometry: 0 meV per atom.



Entry 6:
Computed, not measured: ScCoReH2 after structural relaxation at the GGA-PBE level of DFT.

```
data_ScCoReH2
_space_group_name_H-M_alt 'P 4/m m m'
_space_group_IT_number 123
_space_group_name_Hall '-P 4 2'
_cell_length_a 3.460
_cell_length_b 3.460
_cell_length_c 5.666
_cell_angle_alpha 90.00
_cell_angle_beta 90.00
_cell_angle_gamma 90.00
loop_
_atom_site_label
_atom_site_type_symbol
_atom_site_fract_x
_atom_site_fract_y
_atom_site_fract_z
_atom_site_occupancy
Sc1 Sc 0.000 0.000 0.000 1
Co1 Co 0.500 0.500 0.500 1
Re1 Re 0.000 0.000 0.500 1
H1 H 0.000 0.500 0.000 1
```

Results
As for the volume: 67.9 Å³ per cell. Its total DFT energy (no corrections) is -28.9 eV/cell.



Entry 7:
Computed, not measured: PuUCo4 after structural relaxation at the GGA-PBE level of DFT.

```
data_PuUCo4
_space_group_name_H-M_alt 'F -4 3 m'
_space_group_IT_number 216
_space_group_name_Hall 'F -4 2 3'
_cell_length_a 6.951
_cell_length_b 6.951
_cell_length_c 6.951
_cell_angle_alpha 90.00
_cell_angle_beta 90.00
_cell_angle_gamma 90.00
loop_
_atom_site_label
_atom_site_type_symbol
_atom_site_fract_x
_atom_site_fract_y
_atom_site_fract_z
_atom_site_occupancy
Pu1 Pu 0.000 0.000 0.000 1
U1 U 0.250 0.250 0.750 1
Co1 Co 0.125 0.125 0.375 1
```

Results
As for the volume: 335.9 Å³ per cell. Its total DFT energy (no corrections) is -220.6 eV/cell. The energy of formation from the pure elements is -1.1 eV per formula unit.



Entry 8:
Computed, not measured: Re2NiOs after structural relaxation at the GGA-PBE level of DFT.

```
data_Re2NiOs
_space_group_name_H-M_alt 'P m m 2'
_space_group_IT_number 25
_cell_length_a 2.739
_cell_length_b 4.295
_cell_length_c 4.721
_cell_angle_alpha 90.00
_cell_angle_beta 90.00
_cell_angle_gamma 90.00
loop_
_space_group_symop_operation_xyz
'x,y,z'
'-x,-y,z'
'-x,y,z'
'x,-y,z'
loop_
_atom_site_label
_atom_site_type_symbol
_atom_site_fract_x
_atom_site_fract_y
_atom_site_fract_z
_atom_site_occupancy
Re1 Re 0.000 0.000 0.000 1
Re2 Re 0.000 0.500 0.337 1
Ni1 Ni 0.500 0.500 0.848 1
Os1 Os 0.500 0.000 0.519 1
```

Results
As for the volume: 55.5 Å³ per cell. Its total DFT energy (no corrections) is -42.1 eV/cell. As for the energy above the lowest structure with this stoichiometry: 0 meV per atom. The energy of formation from the pure elements is -0.2 eV per formula unit.



Number 1: total magnetization 0.0 μB per formula unit, D(E_F) 0.405 states/eV per atom. Number 2: total magnetization 0.0 μB per formula unit, D(E_F) 0.756 states/eV per atom. Number 3: total magnetization 2.2 μB per formula unit, D(E_F) 1.460 states/eV per atom. Number 4: total magnetization 0.0 μB per formula unit, D(E_F) 1.427 states/eV per atom. Number 5: total magnetization 0.0 μB per formula unit, D(E_F) 0.632 states/eV per atom. Number 6: total magnetization 0.0 μB per formula unit, D(E_F) 0.784 states/eV per atom. Number 7: total magnetization 4.6 μB per formula unit, D(E_F) 2.217 states/eV per atom. Number 8: total magnetization 0.0 μB per formula unit, D(E_F) 0.642 states/eV per atom.